! MoAsI2O (GGA+U, optimized geometry); values from VASP
! Energy above the most stable polymorph in this dataset in meV per atom: 111
&SYSTEM
  ibrav = 0, nat = 5, ntyp = 4
/
ATOMIC_SPECIES
I 126.90 I.upf
Mo 95.94 Mo.upf
As 74.92 As.upf
O 16.00 O.upf
ATOMIC_POSITIONS angstrom
I 0.0000 2.9481 0.0000
I 2.9481 0.0000 0.0000
Mo 2.9481 2.9481 1.9207
As 0.0000 0.0000 0.0000
O 0.0000 0.0000 1.9207
CELL_PARAMETERS angstrom
5.8961 0.0000 0.0000
0.0000 5.8961 0.0000
0.0000 0.0000 3.8414